DFT (PBE) results for CaPm2Zr after structural relaxation.

Computed properties:
Polymorph energy (0 for the lowest one)   0 meV/atom
Total energy   -19.60 eV/cell
Total magnetization   0.00 μB per cell
Space group   P4/mmm

a = 3.5501 Å, b = 3.5501 Å, c = 10.2876 Å
α = 90.00°, β = 90.00°, γ = 90.00°
Closest atoms and distances in Å follow each position.
Sites, in units of the cell vectors:
Ca 0.5000 0.5000 0.5000  4 Ca 3.55, 8 Pm 3.84
Zr 0.5000 0.5000 0.0000  8 Pm 3.36, 4 Zr 3.55
Pm 0.0000 0.0000 0.7827  4 Zr 3.36, 4 Pm 3.55
Pm 0.0000 0.0000 0.2173  4 Zr 3.36, 4 Pm 3.55



DFT (PBE) results for CaPm2Zr after structural relaxation.

Computed properties:
Polymorph energy (0 for the lowest one)   27 meV/atom
Total energy   -19.50 eV/cell
Total magnetization   0.00 μB per cell
Space group   R3m

a = 3.5370 Å, b = 3.5370 Å, c = 12.0968 Å
α = 81.59°, β = 81.59°, γ = 60.00°
Closest atoms and distances in Å follow each position.
Sites, in units of the cell vectors:
Ca 0.4997 0.4997 0.5009  6 Ca 3.54, 6 Pm 3.88-3.90
Pm 0.0743 0.0743 0.7772  3 Zr 3.35, 6 Pm 3.54
Pm 0.2593 0.2593 0.2220  3 Zr 3.34, 6 Pm 3.54
Zr 0.6667 0.6667 0.9999  6 Pm 3.34-3.35, 6 Zr 3.54



DFT (PBE) results for CaPmZr after structural relaxation.

Computed properties:
Polymorph energy (0 for the lowest one)   62 meV/atom
Total energy   -29.11 eV/cell
Total magnetization   0.00 μB per cell
Space group   P-1

a = 5.6741 Å, b = 3.3845 Å, c = 10.2478 Å
α = 109.25°, β = 86.45°, γ = 90.04°
Closest atoms and distances in Å follow each position.
Sites, in units of the cell vectors:
Ca 0.2357 0.5128 0.7635  4 Zr 3.29-3.37, 2 Ca 3.38, 5 Pm 3.59-3.64
Ca 0.7643 0.4872 0.2365  4 Zr 3.29-3.37, 2 Ca 3.38, 5 Pm 3.59-3.64
Pm 0.2514 0.1367 0.3869  2 Pm 3.38, 2 Zr 3.56-3.57, 5 Ca 3.59-3.64
Pm 0.7486 0.8633 0.6131  2 Pm 3.38, 2 Zr 3.56-3.57, 5 Ca 3.59-3.64
Zr 0.7145 0.6887 0.9382  4 Zr 3.14-3.38, 4 Ca 3.29-3.37
Zr 0.2855 0.3113 0.0618  4 Zr 3.14-3.38, 4 Ca 3.29-3.37



DFT (PBE) results for CaPmZr after structural relaxation.

Computed properties:
Polymorph energy (0 for the lowest one)   0 meV/atom
Total energy   -14.74 eV/cell
Total magnetization   0.00 μB per cell
Space group   I4mm

a = 3.4413 Å, b = 3.4413 Å, c = 8.3702 Å
α = 101.86°, β = 101.86°, γ = 90.00°
Closest atoms and distances in Å follow each position.
Sites, in units of the cell vectors:
Ca 0.0101 0.0101 0.0202  4 Ca 3.44, 4 Zr 3.60
Zr 0.6754 0.6754 0.3507  4 Pm 3.30, 4 Zr 3.44, 4 Ca 3.60
Pm 0.3146 0.3146 0.6291  4 Zr 3.30, 4 Pm 3.44



DFT (PBE) results for CaPr after structural relaxation.

Computed properties:
Polymorph energy (0 for the lowest one)   30 meV/atom
Total energy   -13.31 eV/cell
Total magnetization   0.00 μB per cell
Space group   P2_1/m

a = 5.4010 Å, b = 3.7281 Å, c = 8.4988 Å
α = 63.92°, β = 90.00°, γ = 90.00°
Closest atoms and distances in Å follow each position.
Sites, in units of the cell vectors:
Pr 0.2500 0.3589 0.3911  6 Ca 3.65-3.98, 6 Pr 3.68-3.73
Pr 0.7500 0.6411 0.6089  6 Ca 3.65-3.98, 6 Pr 3.68-3.73
Ca 0.2500 0.8811 0.8690  6 Pr 3.65-3.98, 6 Ca 3.73-3.84
Ca 0.7500 0.1189 0.1310  6 Pr 3.65-3.98, 6 Ca 3.73-3.84



DFT (PBE) results for CaPr5 after structural relaxation.

Computed properties:
Polymorph energy (0 for the lowest one)   17 meV/atom
Total energy   -25.66 eV/cell
Total magnetization   0.00 μB per cell
Space group   Cmmm

a = 5.3123 Å, b = 5.2941 Å, c = 8.3015 Å
α = 108.59°, β = 90.00°, γ = 90.00°
Closest atoms and distances in Å follow each position.
Sites, in units of the cell vectors:
Ca 0.0000 0.0000 0.0000  12 Pr 3.75-3.78
Pr 0.5000 0.8293 0.6586  10 Pr 3.64-3.77, 2 Ca 3.78
Pr 0.0000 0.6700 0.3400  10 Pr 3.65-3.77, 2 Ca 3.76
Pr 0.5000 0.5000 0.0000  4 Ca 3.75, 8 Pr 3.77
Pr 0.0000 0.3300 0.6600  10 Pr 3.65-3.77, 2 Ca 3.76
Pr 0.5000 0.1707 0.3414  10 Pr 3.64-3.77, 2 Ca 3.78



DFT (PBE) results for Ca3Pr4 after structural relaxation.

Computed properties:
Total energy   -24.99 eV/cell
Total magnetization   0.00 μB per cell
Space group   I4/mmm

a = 3.7791 Å, b = 3.7791 Å, c = 19.0287 Å
α = 95.70°, β = 95.70°, γ = 90.00°
Closest atoms and distances in Å follow each position.
Sites, in units of the cell vectors:
Ca 0.0000 0.0000 0.0000  4 Ca 3.78, 8 Pr 3.86
Ca 0.7116 0.7116 0.4232  8 Ca 3.78-3.94, 4 Pr 3.85
Ca 0.2884 0.2884 0.5768  8 Ca 3.78-3.94, 4 Pr 3.85
Pr 0.8619 0.8619 0.7238  8 Pr 3.61-3.78, 4 Ca 3.85
Pr 0.1381 0.1381 0.2762  8 Pr 3.61-3.78, 4 Ca 3.85
Pr 0.5738 0.5738 0.1475  8 Pr 3.61-3.78, 4 Ca 3.86
Pr 0.4262 0.4262 0.8525  8 Pr 3.61-3.78, 4 Ca 3.86



DFT (PBE) results for Ca3Pr13 after structural relaxation.

Computed properties:
Total energy   -67.48 eV/cell
Total magnetization   0.00 μB per cell
Space group   Amm2

a = 8.8911 Å, b = 8.8911 Å, c = 7.5473 Å
α = 90.00°, β = 90.00°, γ = 94.20°
Closest atoms and distances in Å follow each position.
Sites, in units of the cell vectors:
Ca 0.9592 0.0408 0.2512  9 Pr 3.75-3.84, 3 Ca 3.76-3.79
Ca 0.7086 0.2914 0.0000  10 Pr 3.71-3.81, 2 Ca 3.77
Ca 0.9592 0.0408 0.7488  9 Pr 3.75-3.84, 3 Ca 3.76-3.79
Pr 0.5357 0.9557 0.2525  10 Pr 3.66-3.81, 2 Ca 3.77-3.79
Pr 0.4561 0.5439 0.2556  11 Pr 3.66-3.86, 1 Ca 3.81
Pr 0.0443 0.4643 0.2525  10 Pr 3.66-3.81, 2 Ca 3.77-3.79
Pr 0.7888 0.7068 0.0000  3 Ca 3.71-3.75, 9 Pr 3.73-3.81
Pr 0.2932 0.2112 0.0000  3 Ca 3.71-3.75, 9 Pr 3.73-3.81
Pr 0.2157 0.7843 0.0000  10 Pr 3.66-3.81, 2 Ca 3.84
Pr 0.5357 0.9557 0.7475  10 Pr 3.66-3.81, 2 Ca 3.77-3.79
Pr 0.4561 0.5439 0.7444  11 Pr 3.66-3.86, 1 Ca 3.81
Pr 0.0443 0.4643 0.7475  10 Pr 3.66-3.81, 2 Ca 3.77-3.79
Pr 0.7039 0.2961 0.5000  8 Pr 3.61-3.77, 4 Ca 3.77-3.82
Pr 0.7880 0.6994 0.5000  10 Pr 3.61-3.80, 2 Ca 3.79
Pr 0.3006 0.2120 0.5000  10 Pr 3.61-3.80, 2 Ca 3.79
Pr 0.2106 0.7894 0.5000  10 Pr 3.66-3.78, 2 Ca 3.78



DFT (PBE) results for Ca8Pr after structural relaxation.

Computed properties:
Total energy   -20.43 eV/cell
Total magnetization   0.91 μB per cell
Space group   I4/mmm

a = 5.6247 Å, b = 8.5984 Å, c = 8.5984 Å
α = 83.86°, β = 70.91°, γ = 70.91°
Closest atoms and distances in Å follow each position.
Sites, in units of the cell vectors:
Ca 0.3359 0.0000 0.3282  10 Ca 3.77-3.96, 2 Pr 3.88
Ca 0.6641 0.0000 0.6718  10 Ca 3.77-3.96, 2 Pr 3.88
Ca 0.6641 0.6718 0.0000  10 Ca 3.77-3.96, 2 Pr 3.88
Ca 0.0000 0.6693 0.3307  1 Pr 3.80, 11 Ca 3.86-3.93
Ca 0.3307 0.6693 0.6693  1 Pr 3.80, 11 Ca 3.86-3.93
Ca 0.6693 0.3307 0.3307  1 Pr 3.80, 11 Ca 3.86-3.93
Ca 0.0000 0.3307 0.6693  1 Pr 3.80, 11 Ca 3.86-3.93
Ca 0.3359 0.3282 0.0000  10 Ca 3.77-3.96, 2 Pr 3.88
Pr 0.0000 0.0000 0.0000  12 Ca 3.80-3.88



DFT (PBE) results for Ca4Pr after structural relaxation.

Computed properties:
Polymorph energy (0 for the lowest one)   583 meV/atom
Total energy   -9.69 eV/cell
Total magnetization   1.02 μB per cell
Space group   Pm-3m

a = 6.0038 Å, b = 6.0038 Å, c = 6.0038 Å
α = 90.00°, β = 90.00°, γ = 90.00°
Closest atoms and distances in Å follow each position.
Sites, in units of the cell vectors:
Pr 0.5000 0.5000 0.5000  6 Ca 3.00
Ca 0.0000 0.0000 0.0000  12 Ca 4.25
Ca 0.5000 0.0000 0.5000  2 Pr 3.00
Ca 0.0000 0.5000 0.5000  2 Pr 3.00
Ca 0.5000 0.5000 0.0000  2 Pr 3.00



DFT (PBE) results for Ca3Pr after structural relaxation.

Computed properties:
Polymorph energy (0 for the lowest one)   136 meV/atom
Total energy   -10.07 eV/cell
Total magnetization   0.00 μB per cell
Space group   Pmm2

a = 3.7189 Å, b = 3.5580 Å, c = 12.2435 Å
α = 90.00°, β = 90.00°, γ = 90.00°
Closest atoms and distances in Å follow each position.
Sites, in units of the cell vectors:
Pr 0.0000 0.0000 0.9654  4 Pr 3.56-3.72, 6 Ca 3.68-3.82
Ca 0.0000 0.5000 0.4653  10 Ca 3.56-3.92
Ca 0.5000 0.5000 0.1963  6 Ca 3.56-3.78, 4 Pr 3.82
Ca 0.5000 0.0000 0.7063  8 Ca 3.56-3.92, 2 Pr 3.68



DFT (PBE) results for Ca3Pr5 after structural relaxation.

Computed properties:
Total energy   -29.26 eV/cell
Total magnetization   0.00 μB per cell
Space group   Cmmm

a = 3.6713 Å, b = 3.6713 Å, c = 25.1595 Å
α = 90.00°, β = 90.00°, γ = 116.01°
Closest atoms and distances in Å follow each position.
Sites, in units of the cell vectors:
Ca 0.0000 0.0000 0.1308  8 Ca 3.67-3.89, 2 Pr 3.78
Ca 0.5000 0.5000 0.0000  10 Ca 3.67-3.89
Ca 0.0000 0.0000 0.8692  8 Ca 3.67-3.89, 2 Pr 3.78
Pr 0.5000 0.5000 0.7405  8 Pr 3.56-3.89, 2 Ca 3.78
Pr 0.0000 0.0000 0.6218  10 Pr 3.56-3.89
Pr 0.5000 0.5000 0.5000  10 Pr 3.63-3.89
Pr 0.0000 0.0000 0.3782  10 Pr 3.56-3.89
Pr 0.5000 0.5000 0.2595  8 Pr 3.56-3.89, 2 Ca 3.78



DFT (PBE) results for Ca2Pr3 after structural relaxation.

Computed properties:
Total energy   -18.20 eV/cell
Total magnetization   0.00 μB per cell
Space group   R-3m

a = 3.7581 Å, b = 3.7581 Å, c = 15.7936 Å
α = 83.17°, β = 83.17°, γ = 60.00°
Closest atoms and distances in Å follow each position.
Sites, in units of the cell vectors:
Ca 0.2984 0.2984 0.1047  9 Ca 3.76-3.93, 3 Pr 3.87
Ca 0.7016 0.7016 0.8953  9 Ca 3.76-3.93, 3 Pr 3.87
Pr 0.1032 0.1032 0.6903  9 Pr 3.68-3.76, 3 Ca 3.87
Pr 0.5000 0.5000 0.5000  12 Pr 3.68-3.76
Pr 0.8968 0.8968 0.3097  9 Pr 3.68-3.76, 3 Ca 3.87



DFT (PBE) results for Ca3Pr after structural relaxation.

Computed properties:
Polymorph energy (0 for the lowest one)   39 meV/atom
Total energy   -10.46 eV/cell
Total magnetization   0.00 μB per cell
Space group   I4/mmm

a = 6.0742 Å, b = 6.0742 Å, c = 6.0683 Å
α = 120.03°, β = 120.03°, γ = 90.00°
Closest atoms and distances in Å follow each position.
Sites, in units of the cell vectors:
Pr 0.0000 0.0000 0.0000  8 Ca 3.72
Ca 0.7500 0.2500 0.5000  4 Ca 3.72, 4 Pr 3.72
Ca 0.2500 0.7500 0.5000  4 Pr 3.72, 4 Ca 3.72
Ca 0.5000 0.5000 0.0000  8 Ca 3.72